Entry from the Alexandria database: crystalline LiCu2HIr at its relaxed geometry (PBE).

Summary:
- calculated total energy (eV/atom) = -4.46
- DOS at the Fermi energy (states/eV/cell) = 0.9
- space group = P4/mmm
- spin magnetization (μB/atom) = 0.0000

a = 3.851 Å, b = 3.851 Å, c = 3.657 Å
α = 90.00°, β = 90.00°, γ = 90.00°
Fractional positions:
Li: 0.000 0.000 0.000
Cu: 0.000 0.500 0.500
Cu: 0.500 0.000 0.500
H: 0.500 0.500 0.500
Ir: 0.500 0.500 0.000